No. 1
Entry from Alexandria via LeMat-Bulk: a crystal of La2TcIr relaxed with PBEsol (SCAN).

```
4
Lattice="3.3808 0.0000 0.0000 0.0000 3.3808 0.0000 0.0000 0.0000 8.4501" Properties=species:S:1:pos:R:3 pbc="T T T"
La 0.0000 0.0000 0.0000
La 1.6904 1.6904 3.3615
Tc 0.0000 0.0000 5.5026
Ir 1.6904 1.6904 6.4484
```

Energy above the lowest structure with this stoichiometry ... 129 meV/atom
DFT formation energy ... 0.11 eV per formula unit
DOS(E_F) ... 4.3 states/eV/f.u.
Spin magnetization ... 0.00 μB per formula unit
DFT total energy ... -1.76635 hartree per atom



No. 2
Entry from Alexandria via LeMat-Bulk: a crystal of LaTcIr relaxed with PBEsol (SCAN).

```
3
Lattice="0.0000 3.1507 3.1507 3.1507 0.0000 3.1507 3.1507 3.1507 0.0000" Properties=species:S:1:pos:R:3 pbc="T T T"
La 0.0000 0.0000 0.0000
Tc 4.7261 4.7261 4.7261
Ir 1.5754 1.5754 1.5754
```

Energy above the lowest structure with this stoichiometry ... 1050 meV/atom
DFT formation energy ... 3.15 eV per formula unit
DOS(E_F) ... 2.8 states/eV/f.u.
Spin magnetization ... 2.07 μB per formula unit
DFT total energy ... -1.78987 hartree per atom



No. 3
Entry from Alexandria via LeMat-Bulk: a crystal of La2TcIr relaxed with PBEsol (SCAN).

```
4
Lattice="3.6301 0.0000 0.0000 0.0000 4.8791 0.0000 0.0000 0.0000 4.9048" Properties=species:S:1:pos:R:3 pbc="T T T"
La 0.0000 0.0000 0.0000
La 0.0000 2.4396 2.4524
Tc 1.8150 0.0000 2.4524
Ir 1.8150 2.4396 0.0000
```

Energy above the lowest structure with this stoichiometry ... 0 meV/atom
DFT formation energy ... -0.41 eV per formula unit
DOS(E_F) ... 3.7 states/eV/f.u.
Spin magnetization ... 0.00 μB per formula unit
DFT total energy ... -1.77109 hartree per atom



No. 4
Entry from Alexandria via LeMat-Bulk: a crystal of LaTcIr2 relaxed with PBEsol (SCAN).

```
4
Lattice="2.8244 0.0000 0.0000 0.0000 3.5859 0.0000 0.0000 0.0000 7.0433" Properties=species:S:1:pos:R:3 pbc="T T T"
La 0.0000 0.0000 0.0000
Tc 0.0000 0.0000 3.5216
Ir 1.4122 1.7930 2.1827
Ir 1.4122 1.7930 4.8606
```

Energy above the lowest structure with this stoichiometry ... 0 meV/atom
DFT formation energy ... -0.58 eV per formula unit
DOS(E_F) ... 4.0 states/eV/f.u.
Spin magnetization ... 0.00 μB per formula unit
DFT total energy ... -2.02988 hartree per atom



No. 5
Entry from Alexandria via LeMat-Bulk: a crystal of LaTcIr2 relaxed with PBEsol (SCAN).

```
4
Lattice="-2.0602 2.0736 4.0008 2.0602 -2.0736 4.0008 2.0602 2.0736 -4.0008" Properties=species:S:1:pos:R:3 pbc="T T T"
La 0.0000 0.0000 0.0000
Tc 0.0000 0.0000 4.0008
Ir 2.0602 0.0000 2.0043
Ir 0.0000 2.0736 1.9966
```

Energy above the lowest structure with this stoichiometry ... 340 meV/atom
DFT formation energy ... 0.78 eV per formula unit
DOS(E_F) ... 3.9 states/eV/f.u.
Spin magnetization ... 0.98 μB per formula unit
DFT total energy ... -2.01740 hartree per atom



No. 6
Entry from Alexandria via LeMat-Bulk: a crystal of La4TcIr relaxed with PBEsol (SCAN).

```
6
Lattice="0.0000 4.1868 4.1868 4.1868 0.0000 4.1868 4.1868 4.1868 0.0000" Properties=species:S:1:pos:R:3 pbc="T T T"
La 1.0470 1.0470 1.0470
La 3.1397 3.1397 1.0470
La 3.1397 1.0470 3.1397
La 1.0470 3.1397 3.1397
Tc 4.1868 4.1868 4.1868
Ir 6.2802 6.2802 6.2802
```

DFT formation energy ... 6.02 eV per formula unit
DOS(E_F) ... 7.3 states/eV/f.u.
Spin magnetization ... 0.71 μB per formula unit
DFT total energy ... -1.66938 hartree per atom



No. 7
Entry from Alexandria via LeMat-Bulk: a crystal of LaTeIr4 relaxed with PBEsol (SCAN).

```
6
Lattice="0.0000 3.7877 3.7877 3.7877 0.0000 3.7877 3.7877 3.7877 0.0000" Properties=species:S:1:pos:R:3 pbc="T T T"
La 0.0000 0.0000 0.0000
Te 5.6815 5.6815 5.6815
Ir 2.8419 2.8419 2.8419
Ir 4.7335 4.7335 2.8419
Ir 4.7335 2.8419 4.7335
Ir 2.8419 4.7335 4.7335
```

Raw formation energy ... -0.125 eV per atom
DOS(E_F) ... 5.9 states/eV/f.u.
Spin magnetization ... 0.00 μB per formula unit
DFT total energy ... -2.23868 hartree per atom



No. 8
Entry from Alexandria via LeMat-Bulk: a crystal of La2TeIr relaxed with PBEsol (SCAN).

```
4
Lattice="2.1179 1.2228 7.4634 -2.1179 1.2228 7.4634 0.0000 -2.4455 7.4634" Properties=species:S:1:pos:R:3 pbc="T T T"
La 0.0000 0.0000 5.2946
La 0.0000 0.0000 17.0956
Te 0.0000 0.0000 0.0000
Ir 0.0000 0.0000 11.1951
```

Raw formation energy ... -1.327 eV per atom
DOS(E_F) ... 2.2 states/eV/f.u.
Spin magnetization ... 0.00 μB per formula unit
DFT total energy ... -1.83626 hartree per atom